# 1
DFT (PBE) results for a relaxed CsErNO crystal.

Results
As for the energy above the most stable polymorph in this dataset: 0.0 kJ/mol of atoms.

Structure (CIF):
```
data_CsErNO
_cell_length_a 3.9296
_cell_length_b 7.9098
_cell_length_c 6.3864
_cell_angle_alpha 90.00
_cell_angle_beta 90.00
_cell_angle_gamma 90.00
_space_group_name_H-M_alt 'P m c 21'
_space_group_IT_number 26
_space_group_name_Hall 'P 2c -2'
loop_
_atom_site_label
_atom_site_type_symbol
_atom_site_fract_x
_atom_site_fract_y
_atom_site_fract_z
_atom_site_occupancy
Cs1 Cs 0.0000 0.1692 0.0000 1
Er1 Er 0.5000 0.3604 0.5205 1
N1 N 0.0000 0.2253 0.4691 1
O1 O 0.5000 0.4158 0.8412 1
```



# 2
DFT (PBE) results for a relaxed PrNdMg6 crystal.

Results
The value obtained for the calculated total energy is -2.476 eV per atom.

Structure (CIF):
```
data_PrNdMg6
_cell_length_a 5.2510
_cell_length_b 5.2510
_cell_length_c 7.4262
_cell_angle_alpha 90.00
_cell_angle_beta 90.00
_cell_angle_gamma 90.00
_space_group_name_H-M_alt 'P 4/m m m'
_space_group_IT_number 123
_space_group_name_Hall '-P 4 2'
loop_
_atom_site_label
_atom_site_type_symbol
_atom_site_fract_x
_atom_site_fract_y
_atom_site_fract_z
_atom_site_occupancy
Pr1 Pr 0.0000 0.0000 0.0000 1
Nd1 Nd 0.5000 0.5000 0.5000 1
Mg1 Mg 0.0000 0.0000 0.5000 1
Mg2 Mg 0.0000 0.5000 0.2502 1
Mg3 Mg 0.5000 0.5000 0.0000 1
```